# ZnCoO2F | the Alexandria database | GGA+U | relaxed
data_ZnCoO2F
_chemical_formula_sum 'Zn1 Co1 O2 F1'
_cell_length_a 3.745
_cell_length_b 3.745
_cell_length_c 3.897
_cell_angle_alpha 90.00
_cell_angle_beta 90.00
_cell_angle_gamma 90.00
_symmetry_space_group_name_H-M 'P 1'
_symmetry_Int_Tables_number 1
loop_
_symmetry_equiv_pos_as_xyz
'x,y,z'
loop_
_atom_site_label
_atom_site_type_symbol
_atom_site_fract_x
_atom_site_fract_y
_atom_site_fract_z
O1 O 0.500 0.000 0.000
Zn1 Zn 0.500 0.500 0.500
O2 O 0.000 0.500 0.000
F1 F 0.000 0.000 0.500
Co1 Co 0.000 0.000 0.000
# Space group = P4/mmm, No. 123
# Total energy = -4.442 eV per atom
# Calculated volume = 10.930 Å³/atom